Below is NaLaH2S2O9 after structural relaxation, with properties calculated at the PBE level.

Structure (POSCAR):
```
NaLaH2S2O9
1.0
7.094 0.000 0.000
-3.547 6.144 0.000
0.000 0.000 13.097
Na La H S O
3 3 6 6 27
Cartesian
-1.634 2.907 0.000
-0.212 6.105 8.731
1.846 3.275 4.366
3.027 0.077 2.162
2.100 3.484 10.893
5.514 2.583 6.527
-0.264 0.564 2.118
-2.926 6.090 10.850
0.455 0.471 5.552
3.191 5.632 6.484
6.459 0.159 9.917
3.727 5.514 1.186
-1.454 2.742 9.751
-0.446 6.032 5.385
3.184 0.063 12.054
1.899 3.514 1.019
2.009 3.354 7.688
5.447 2.726 3.322
0.521 0.098 1.754
-1.458 3.876 2.405
-1.407 3.872 8.780
-0.446 2.519 4.185
-0.187 2.610 10.507
-1.193 5.000 6.141
-1.142 5.270 12.916
2.134 0.698 4.562
0.919 2.943 6.770
0.897 2.989 0.048
2.258 0.885 11.215
0.510 5.426 4.414
2.379 2.250 8.627
0.539 5.468 11.136
2.290 2.475 2.008
1.380 4.677 1.776
1.588 4.498 8.550
3.806 0.746 6.373
3.956 0.935 12.992
3.184 3.746 6.850
3.085 3.947 0.196
4.306 2.958 4.261
5.199 1.513 2.484
4.545 2.923 10.739
5.422 1.499 8.928
3.371 5.643 10.485
6.749 0.403 6.119
```

Properties
* space-group type: P3_1, No. 144
* size of the total moment: 0.00 μB/cell
* E_tot: -94.1 eV per formula unit

=====

Below is Zn2Co3 after structural relaxation, with properties calculated at the PBE level.

Structure (POSCAR):
```
Zn2Co3
1.0
0.000 6.209 2.259
4.302 0.000 2.259
4.302 6.209 0.000
Zn Co
4 6
Cartesian
2.309 0.622 1.129
4.460 2.483 2.259
1.992 5.588 1.129
4.143 9.936 2.259
4.302 6.209 0.193
2.151 3.105 1.323
4.086 5.033 2.334
4.517 7.386 2.334
6.667 8.138 3.464
6.237 10.490 3.464
```

Properties
* ΔH_f (0 K): 105 meV/atom
* space-group type: Fdd2, No. 43
* size of the total moment: 8.11 μB/cell
* energy above the most stable polymorph in this dataset: 0.071 eV/atom

=====

Below is AlSI3 after structural relaxation, with properties calculated at the PBE level.

Structure (POSCAR):
```
AlSI3
1.0
5.578 0.000 0.000
0.000 5.578 0.000
0.000 0.000 5.578
Al S I
1 1 3
Cartesian
0.000 0.000 0.000
2.789 2.789 2.789
0.000 0.000 2.789
0.000 2.789 0.000
2.789 0.000 0.000
```

Properties
* space-group type: Pm-3m, No. 221
* size of the total moment: 2.25 μB/cell
* energy relative to the elements, uncorrected: 0.316 eV per atom
* energy above the most stable polymorph in this dataset: 0.044 eV/atom